Below is an optimized crystal structure of Ba2SrLaNi, with properties calculated at the PBE-GGA level.

Output
Formation enthalpy at 0 K ... 0.029 eV/atom
Electronic total energy ... -16.089 eV per formula unit
Magnetic moment ... 0.000 μB/atom
Calculated volume ... 45.24 Å³ per atom

abc: 6.4197 6.4197 5.4890
angles: 90.00 90.00 90.00
Last column: nearest neighbours and their distance in Å.
Space group P4/mmm (No. 123)
Symmetry-distinct sites (fractional):
Ba1 0.0000 0.5000 0.0000  2 Ni 3.21
Sr1 0.0000 0.0000 0.5000  8 Ba 4.22, 4 La 4.54
La1 0.5000 0.5000 0.5000  2 Ni 2.74
Ni1 0.5000 0.5000 0.0000  2 La 2.74